VASP calculation (GGA-PBE) on CeNp4Sb5 after structural relaxation.

Values from the calculation:
E_tot (eV/atom): -8.192
Formation energy (no corrections) (eV/atom): -0.361

Cell lengths 4.4359, 6.2516, 22.0231 Å; angles 90.00, 90.00, 90.00 degrees
Last column: nearest neighbours and their distance in Å.
Space group Immm (No. 71)
One atom of each set of equivalent atoms:
1 Ce 0.0000 0.0000 0.0000 (multiplicity 2)  6 Sb 3.13-3.16
2 Np 0.0000 0.0000 0.2015 (multiplicity 4)  6 Sb 3.11-3.13
3 Np 0.0000 0.0000 0.3998 (multiplicity 4)  6 Sb 3.11-3.13
4 Sb 0.0000 0.5000 0.0000 (multiplicity 2)  2 Ce 3.13, 4 Np 3.13
5 Sb 0.0000 0.5000 0.1993 (multiplicity 4)  6 Np 3.11-3.13
6 Sb 0.0000 0.5000 0.3978 (multiplicity 4)  4 Np 3.12-3.13, 2 Ce 3.16